No. 1
# CsRb2Cd9 | the Alexandria database | PBE | optimized geometry
data_CsRb2Cd9
_cell_length_a 6.484
_cell_length_b 6.484
_cell_length_c 11.165
_cell_angle_alpha 73.12
_cell_angle_beta 73.12
_cell_angle_gamma 60.00
_symmetry_space_group_name_H-M 'P 1'
_symmetry_Int_Tables_number 1
loop_
_symmetry_equiv_pos_as_xyz
'x,y,z'
loop_
_atom_site_label
_atom_site_type_symbol
_atom_site_fract_x
_atom_site_fract_y
_atom_site_fract_z
Cs1 Cs 0.000 0.000 0.000
Rb1 Rb 0.855 0.855 0.434
Rb2 Rb 0.145 0.145 0.566
Cd1 Cd 0.666 0.666 0.003
Cd2 Cd 0.334 0.334 0.997
Cd3 Cd 0.500 0.500 0.500
Cd4 Cd 0.417 0.417 0.244
Cd5 Cd 0.922 0.417 0.244
Cd6 Cd 0.417 0.922 0.244
Cd7 Cd 0.583 0.583 0.756
Cd8 Cd 0.583 0.078 0.756
Cd9 Cd 0.078 0.583 0.756
# Total magnetization: 0.00 μB per cell
# Uncorrected energy: -0.959 eV per atom

***

No. 2
# NdSmN | the Alexandria database | PBE | optimized geometry
data_NdSmN
_cell_length_a 3.461
_cell_length_b 5.042
_cell_length_c 5.042
_cell_angle_alpha 79.10
_cell_angle_beta 110.01
_cell_angle_gamma 110.01
_symmetry_space_group_name_H-M 'P 1'
_symmetry_Int_Tables_number 1
loop_
_symmetry_equiv_pos_as_xyz
'x,y,z'
loop_
_atom_site_label
_atom_site_type_symbol
_atom_site_fract_x
_atom_site_fract_y
_atom_site_fract_z
Sm1 Sm 0.624 0.456 0.456
N1 N 0.900 0.231 0.231
Nd1 Nd 0.159 0.989 0.989
# Total magnetization: 0.00 μB per cell
# Raw formation energy: -0.413 eV per atom

***

No. 3
# Dy4Tm4Mg | the Alexandria database | PBE | optimized geometry
data_Dy4Tm4Mg
_cell_length_a 7.333
_cell_length_b 9.305
_cell_length_c 6.356
_cell_angle_alpha 43.22
_cell_angle_beta 105.49
_cell_angle_gamma 111.14
_symmetry_space_group_name_H-M 'P 1'
_symmetry_Int_Tables_number 1
loop_
_symmetry_equiv_pos_as_xyz
'x,y,z'
loop_
_atom_site_label
_atom_site_type_symbol
_atom_site_fract_x
_atom_site_fract_y
_atom_site_fract_z
Dy1 Dy 0.599 0.665 0.151
Dy2 Dy 0.401 0.335 0.849
Dy3 Dy 0.217 0.185 0.449
Dy4 Dy 0.783 0.815 0.551
Tm1 Tm 0.893 0.370 0.837
Tm2 Tm 0.107 0.630 0.163
Tm3 Tm 0.298 0.793 0.543
Tm4 Tm 0.702 0.207 0.457
Mg1 Mg 0.000 0.000 0.000
# Total magnetization: 0.00 μB per cell
# Uncorrected energy: -4.111 eV per atom

***

No. 4
# SrHgTe3Pb | the Alexandria database | PBE | optimized geometry
data_SrHgTe3Pb
_cell_length_a 4.553
_cell_length_b 9.356
_cell_length_c 10.401
_cell_angle_alpha 100.13
_cell_angle_beta 90.00
_cell_angle_gamma 90.00
_symmetry_space_group_name_H-M 'P 1'
_symmetry_Int_Tables_number 1
loop_
_symmetry_equiv_pos_as_xyz
'x,y,z'
loop_
_atom_site_label
_atom_site_type_symbol
_atom_site_fract_x
_atom_site_fract_y
_atom_site_fract_z
Sr1 Sr 0.250 0.183 0.231
Sr2 Sr 0.750 0.817 0.769
Hg1 Hg 0.250 0.105 0.607
Hg2 Hg 0.750 0.895 0.393
Te1 Te 0.750 0.920 0.126
Te2 Te 0.250 0.080 0.874
Te3 Te 0.250 0.762 0.497
Te4 Te 0.750 0.238 0.503
Te5 Te 0.750 0.421 0.164
Te6 Te 0.250 0.579 0.836
Pb1 Pb 0.250 0.659 0.137
Pb2 Pb 0.750 0.341 0.863
# Total magnetization: 0.00 μB per cell
# Raw formation energy: -0.689 eV per atom

***

No. 5
# MgZrSc2H | the Alexandria database | PBE | optimized geometry
data_MgZrSc2H
_cell_length_a 4.572
_cell_length_b 4.572
_cell_length_c 4.442
_cell_angle_alpha 90.00
_cell_angle_beta 90.00
_cell_angle_gamma 90.00
_symmetry_space_group_name_H-M 'P 1'
_symmetry_Int_Tables_number 1
loop_
_symmetry_equiv_pos_as_xyz
'x,y,z'
loop_
_atom_site_label
_atom_site_type_symbol
_atom_site_fract_x
_atom_site_fract_y
_atom_site_fract_z
Sc1 Sc 0.000 0.500 0.000
Sc2 Sc 0.500 0.000 0.000
H1 H 0.000 0.000 0.000
Mg1 Mg 0.500 0.500 0.500
Zr1 Zr 0.000 0.000 0.500
# Total magnetization: 0.00 μB per cell
# Uncorrected energy: -5.367 eV per atom

***

No. 6
# Ac3Cu2Ir | the Alexandria database | PBE | optimized geometry
data_Ac3Cu2Ir
_cell_length_a 4.347
_cell_length_b 12.546
_cell_length_c 12.611
_cell_angle_alpha 90.00
_cell_angle_beta 90.00
_cell_angle_gamma 90.00
_symmetry_space_group_name_H-M 'P 1'
_symmetry_Int_Tables_number 1
loop_
_symmetry_equiv_pos_as_xyz
'x,y,z'
loop_
_atom_site_label
_atom_site_type_symbol
_atom_site_fract_x
_atom_site_fract_y
_atom_site_fract_z
Ac1 Ac 0.250 0.371 0.057
Ac2 Ac 0.750 0.629 0.943
Ac3 Ac 0.750 0.871 0.443
Ac4 Ac 0.250 0.129 0.557
Ac5 Ac 0.250 0.696 0.222
Ac6 Ac 0.750 0.304 0.778
Ac7 Ac 0.750 0.196 0.278
Ac8 Ac 0.250 0.804 0.722
Ac9 Ac 0.250 0.443 0.384
Ac10 Ac 0.750 0.557 0.616
Ac11 Ac 0.750 0.943 0.116
Ac12 Ac 0.250 0.057 0.884
Cu1 Cu 0.250 0.689 0.478
Cu2 Cu 0.750 0.311 0.522
Cu3 Cu 0.750 0.189 0.022
Cu4 Cu 0.250 0.811 0.978
Cu5 Cu 0.250 0.004 0.301
Cu6 Cu 0.750 0.996 0.699
Cu7 Cu 0.750 0.504 0.199
Cu8 Cu 0.250 0.496 0.801
Ir1 Ir 0.250 0.128 0.123
Ir2 Ir 0.750 0.872 0.877
Ir3 Ir 0.750 0.628 0.377
Ir4 Ir 0.250 0.372 0.623
# Total magnetization: 0.00 μB per cell
# Uncorrected energy: -5.199 eV per atom

***

No. 7
# PaBiPb2O6 | the Alexandria database | PBE | optimized geometry
data_PaBiPb2O6
_cell_length_a 4.557
_cell_length_b 6.304
_cell_length_c 6.304
_cell_angle_alpha 90.00
_cell_angle_beta 90.00
_cell_angle_gamma 90.00
_symmetry_space_group_name_H-M 'P 1'
_symmetry_Int_Tables_number 1
loop_
_symmetry_equiv_pos_as_xyz
'x,y,z'
loop_
_atom_site_label
_atom_site_type_symbol
_atom_site_fract_x
_atom_site_fract_y
_atom_site_fract_z
Pa1 Pa 0.642 0.500 0.500
Bi1 Bi 0.623 0.000 0.000
Pb1 Pb 0.016 0.500 0.000
Pb2 Pb 0.016 0.000 0.500
O1 O 0.714 0.261 0.261
O2 O 0.714 0.261 0.739
O3 O 0.164 0.500 0.500
O4 O 0.128 0.000 0.000
O5 O 0.714 0.739 0.739
O6 O 0.714 0.739 0.261
# Total magnetization: 0.00 μB per cell
# Raw formation energy: -1.880 eV per atom

***

No. 8
# PaB2Ir2Rh | the Alexandria database | PBE | optimized geometry
data_PaB2Ir2Rh
_cell_length_a 3.931
_cell_length_b 3.931
_cell_length_c 6.471
_cell_angle_alpha 107.68
_cell_angle_beta 107.68
_cell_angle_gamma 90.00
_symmetry_space_group_name_H-M 'P 1'
_symmetry_Int_Tables_number 1
loop_
_symmetry_equiv_pos_as_xyz
'x,y,z'
loop_
_atom_site_label
_atom_site_type_symbol
_atom_site_fract_x
_atom_site_fract_y
_atom_site_fract_z
Pa1 Pa 0.500 0.500 0.000
B1 B 0.820 0.820 0.639
B2 B 0.180 0.180 0.361
Ir1 Ir 0.250 0.750 0.500
Ir2 Ir 0.750 0.250 0.500
Rh1 Rh 0.000 0.000 0.000
# Total magnetization: 0.00 μB per cell
# Uncorrected energy: -8.470 eV per atom

***

No. 9
# K2PaW2N7 | the Alexandria database | PBE | optimized geometry
data_K2PaW2N7
_cell_length_a 3.895
_cell_length_b 3.895
_cell_length_c 11.896
_cell_angle_alpha 80.18
_cell_angle_beta 80.18
_cell_angle_gamma 89.85
_symmetry_space_group_name_H-M 'P 1'
_symmetry_Int_Tables_number 1
loop_
_symmetry_equiv_pos_as_xyz
'x,y,z'
loop_
_atom_site_label
_atom_site_type_symbol
_atom_site_fract_x
_atom_site_fract_y
_atom_site_fract_z
K1 K 0.807 0.807 0.390
K2 K 0.193 0.193 0.610
Pa1 Pa 0.000 0.000 0.000
W1 W 0.586 0.586 0.806
W2 W 0.414 0.414 0.194
N1 N 0.500 0.500 0.000
N2 N 0.330 0.330 0.349
N3 N 0.670 0.670 0.651
N4 N 0.951 0.472 0.146
N5 N 0.472 0.951 0.146
N6 N 0.528 0.049 0.854
N7 N 0.049 0.528 0.854
# Total magnetization: 1.04 μB per cell
# Raw formation energy: -0.413 eV per atom

***

No. 10
# NaBi3Au | the Alexandria database | PBE | optimized geometry
data_NaBi3Au
_cell_length_a 6.562
_cell_length_b 6.676
_cell_length_c 7.178
_cell_angle_alpha 90.04
_cell_angle_beta 89.98
_cell_angle_gamma 90.00
_symmetry_space_group_name_H-M 'P 1'
_symmetry_Int_Tables_number 1
loop_
_symmetry_equiv_pos_as_xyz
'x,y,z'
loop_
_atom_site_label
_atom_site_type_symbol
_atom_site_fract_x
_atom_site_fract_y
_atom_site_fract_z
Na1 Na 0.467 0.409 0.701
Na2 Na 0.967 0.943 0.200
Bi1 Bi 0.345 0.296 0.201
Bi2 Bi 0.458 0.904 0.953
Bi3 Bi 0.957 0.449 0.453
Bi4 Bi 0.845 0.057 0.700
Bi5 Bi 0.958 0.448 0.949
Bi6 Bi 0.457 0.904 0.449
Au1 Au 0.152 0.740 0.701
Au2 Au 0.651 0.613 0.201
# Total magnetization: 0.00 μB per cell
# Uncorrected energy: -3.376 eV per atom

***

No. 11
# YCu2Os | the Alexandria database | PBE | optimized geometry
data_YCu2Os
_cell_length_a 9.422
_cell_length_b 9.422
_cell_length_c 9.422
_cell_angle_alpha 17.32
_cell_angle_beta 17.32
_cell_angle_gamma 17.32
_symmetry_space_group_name_H-M 'P 1'
_symmetry_Int_Tables_number 1
loop_
_symmetry_equiv_pos_as_xyz
'x,y,z'
loop_
_atom_site_label
_atom_site_type_symbol
_atom_site_fract_x
_atom_site_fract_y
_atom_site_fract_z
Cu1 Cu 0.991 0.991 0.991
Cu2 Cu 0.509 0.509 0.509
Os1 Os 0.250 0.250 0.250
Y1 Y 0.750 0.750 0.750
# Total magnetization: 0.00 μB per cell
# Uncorrected energy: -5.893 eV per atom

***

No. 12
# Ho4GaAg | the Alexandria database | PBE | optimized geometry
data_Ho4GaAg
_cell_length_a 5.058
_cell_length_b 6.288
_cell_length_c 11.187
_cell_angle_alpha 90.00
_cell_angle_beta 103.07
_cell_angle_gamma 90.00
_symmetry_space_group_name_H-M 'P 1'
_symmetry_Int_Tables_number 1
loop_
_symmetry_equiv_pos_as_xyz
'x,y,z'
loop_
_atom_site_label
_atom_site_type_symbol
_atom_site_fract_x
_atom_site_fract_y
_atom_site_fract_z
Ho1 Ho 0.875 0.284 0.749
Ho2 Ho 0.125 0.784 0.251
Ho3 Ho 0.436 0.865 0.871
Ho4 Ho 0.564 0.365 0.129
Ho5 Ho 0.716 0.550 0.432
Ho6 Ho 0.284 0.050 0.568
Ho7 Ho 0.691 0.067 0.382
Ho8 Ho 0.309 0.567 0.618
Ga1 Ga 0.840 0.811 0.680
Ga2 Ga 0.160 0.311 0.320
Ag1 Ag 0.568 0.858 0.137
Ag2 Ag 0.432 0.358 0.863
# Total magnetization: 0.00 μB per cell
# Uncorrected energy: -4.114 eV per atom